! PBE-GGA Rb2NaLi2, optimized geometry; values from VASP
! - Volume: 48.78 A^3/atom
! - Calculated formation energy: 0.132 eV/atom
! - ΔE to the lowest computed polymorph: 0.0 meV/atom
! - M_tot: 0.000 μB/cell
&SYSTEM
  ibrav = 0, nat = 5, ntyp = 3
/
ATOMIC_SPECIES
Rb 85.47 Rb.upf
Na 22.99 Na.upf
Li 6.94 Li.upf
CELL_PARAMETERS angstrom
-2.166 2.166 13.002
2.166 -2.166 13.002
2.166 2.166 -13.002
ATOMIC_POSITIONS crystal
Rb 0.120 0.120 0.000
Rb 0.880 0.880 0.000
Na 0.500 0.500 0.000
Li 0.250 0.750 0.500
Li 0.750 0.250 0.500